[1]
Compound: KAs3Se
Source: Alexandria via LeMat-Bulk
Functional: PBE
Structure: optimized geometry

Output
Its crystal system is cubic. For the offset from the most stable computed form, the calculation gives 0.000 eV/atom. The volume comes out at 28.2 A^3/atom. The uncorrected formation energy comes out at 0.44 eV/atom.

abc: 5.2072 5.2072 5.2072
angles: 90.00 90.00 90.00
Space group Pm-3m (No. 221)
Asymmetric unit:
1 K 0.0000 0.0000 0.0000 x1
2 As 0.0000 0.5000 0.5000 x3
3 Se 0.5000 0.5000 0.5000 x1


[2]
Compound: LiMg5CdHg2
Source: Alexandria via LeMat-Bulk
Functional: PBE
Structure: optimized geometry

Output
Its crystal system is tetragonal. The volume comes out at 22.9 A^3/atom. For the energy of formation, the calculation gives -25 kJ/mol of formula units.

abc: 7.4084 7.4084 14.9928
angles: 90.00 90.00 90.00
Space group I4/mcm (No. 140)
Asymmetric unit:
1 Li 0.0000 0.5000 0.2500 x4
2 Mg 0.0000 0.0000 0.0000 x4
3 Mg 0.2115 0.2885 0.1428 x16
4 Cd 0.0000 0.0000 0.2500 x4
5 Hg 0.1319 0.3681 0.5000 x8


[3]
Compound: Na2SrPAu
Source: Alexandria via LeMat-Bulk
Functional: PBE
Structure: optimized geometry

Output
Its crystal system is tetragonal. The volume comes out at 48.4 A^3/atom. For the energy of formation, the calculation gives 319 kJ/mol of formula units.

abc: 6.7998 6.7998 5.2344
angles: 90.00 90.00 90.00
Space group P4/mmm (No. 123)
Asymmetric unit:
1 Na 0.0000 0.5000 0.0000 x2
2 Sr 0.0000 0.0000 0.0000 x1
3 P 0.0000 0.0000 0.5000 x1
4 Au 0.5000 0.5000 0.5000 x1


[4]
Compound: MgNbBr3
Source: Alexandria via LeMat-Bulk
Functional: PBE
Structure: optimized geometry

Output
Its crystal system is cubic. For the offset from the most stable computed form, the calculation gives 0.000 eV/atom. The volume comes out at 31.0 A^3/atom. The uncorrected formation energy comes out at -0.24 eV/atom.

abc: 5.3705 5.3705 5.3705
angles: 90.00 90.00 90.00
Space group Pm-3m (No. 221)
Asymmetric unit:
1 Mg 0.0000 0.0000 0.0000 x1
2 Nb 0.5000 0.5000 0.5000 x1
3 Br 0.0000 0.5000 0.5000 x3


[5]
Compound: LaHf2CuN4
Source: Alexandria via LeMat-Bulk
Functional: PBE
Structure: optimized geometry

Output
Its crystal system is orthorhombic. The volume comes out at 12.8 A^3/atom. The uncorrected formation energy comes out at -1.33 eV/atom.

abc: 3.3097 10.9811 11.2429
angles: 90.00 90.00 90.00
Space group Cmcm (No. 63)
Asymmetric unit:
1 La 0.0000 0.1035 0.2500 x4
2 Hf 0.0000 0.3658 0.0552 x8
3 Cu 0.0000 0.1618 0.7500 x4
4 N 0.0000 0.0000 0.0000 x4
5 N 0.0000 0.2635 0.6050 x8
6 N 0.0000 0.4434 0.2500 x4


[6]
Compound: Fe2ReMo
Source: Alexandria via LeMat-Bulk
Functional: PBE
Structure: optimized geometry

Output
Its crystal system is tetragonal. The volume comes out at 13.5 A^3/atom. For the energy of formation, the calculation gives 64 kJ/mol of formula units.

abc: 4.2429 4.2429 2.9914
angles: 90.00 90.00 90.00
Space group P4/mmm (No. 123)
Asymmetric unit:
1 Fe 0.0000 0.5000 0.0000 x2
2 Re 0.0000 0.0000 0.5000 x1
3 Mo 0.5000 0.5000 0.5000 x1